CoSbOs2: relaxed, PBE-GGA.

It has space group I4/mmm (No. 139), with a = 3.974 Å, b = 3.974 Å, c = 7.490 Å, α = 90.00°, β = 90.00° and γ = 90.00°. The distinct sites, in fractional coordinates, are Co at (0.000, 0.000, 0.000), Sb at (0.000, 0.000, 0.500) and Os at (0.000, 0.500, 0.250).

The total energy comes out at -7.9087 eV per atom. The value obtained for the volume is 14.782 Å³ per atom. The total magnetization is 0.61 μB per cell. The distance to the lowest polymorph of the same formula comes out at 69 meV/atom. As for the energy relative to the elements, uncorrected: 513.2 meV/atom.